Compound: Ta3Co2
Source: the Alexandria database
Functional: PBE
Structure: optimized geometry

The value obtained for the calculated total energy is -9.78 eV/atom. As for the polymorph energy (0 for the lowest one): 0.1461 eV per atom. The density of states at the Fermi level comes out at 10.85 states/eV per cell. The calculation puts the density at 13.885 g/cm³.

Unit cell a=3.0603 b=3.0603 c=29.2255 alpha=90.00 beta=90.00 gamma=120.00
With the nearest neighbours (Å) after each atom.
Space group R-3m (No. 166, hexagonal axes)
Inequivalent atoms, fractional coordinates:
1 Ta 0.0000 0.0000 0.0000 [3 per cell]  6 Co 2.54
2 Ta 0.0000 0.0000 0.2058 [6 per cell]  3 Co 2.60, 3 Ta 2.89
3 Co 0.0000 0.0000 0.3955 [6 per cell]  6 Ta 2.54-2.60